Record 1
First-principles (PBE) data for crystalline AgRu2Br at its relaxed geometry, as listed in Alexandria.

POSCAR file:
```
AgRu2Br
1.0
-2.892 -1.214 3.238
1.789 -4.088 0.641
2.601 3.962 0.305
Ru Ag Br
2 1 1
Direct
0.002 0.998 0.000 Ru
0.263 0.737 0.500 Ru
0.502 0.498 0.000 Ag
0.733 0.267 0.500 Br
```

Results
SG   C2 (5)
Energy above the most stable polymorph in this dataset   2.549 eV/f.u.
Final energy   -18.9 eV/cell
Formation energy (no corrections)   1.052 eV/atom
V   67 Å³ per cell

Record 2
First-principles (PBE) data for crystalline Tc2IrBr at its relaxed geometry, as listed in Alexandria.

POSCAR file:
```
Tc2IrBr
1.0
4.750 0.013 0.000
1.263 4.579 0.000
-3.006 -2.296 2.873
Ir Tc Br
1 2 1
Direct
0.750 0.250 0.500 Ir
0.000 0.000 0.000 Tc
0.250 0.750 0.500 Tc
0.500 0.500 0.000 Br
```

Results
SG   I-4m2 (119)
Energy above the most stable polymorph in this dataset   2.036 eV/f.u.
Final energy   -27.3 eV/cell
Formation energy (no corrections)   0.993 eV/atom
V   62 Å³ per cell

Record 3
First-principles (PBE) data for crystalline Cs2GaHg2 at its relaxed geometry, as listed in Alexandria.

POSCAR file:
```
Cs2GaHg2
1.0
-1.564 4.656 4.724
-6.072 -2.708 -1.495
4.503 -4.616 2.203
Cs Ga Hg
2 1 2
Direct
0.750 0.250 0.500 Cs
0.250 0.750 0.500 Cs
0.000 0.000 0.000 Ga
0.675 0.675 0.000 Hg
0.325 0.325 0.000 Hg
```

Results
SG   I4/mmm (139)
Energy above the most stable polymorph in this dataset   0.038 eV/f.u.
Final energy   -5.5 eV/cell
V   241 Å³ per cell
ΔE_f   -0.026 eV per atom

Record 4
First-principles (PBE) data for crystalline Dy3TmIr2 at its relaxed geometry, as listed in Alexandria.

POSCAR file:
```
Dy3TmIr2
1.0
-3.070 2.800 -1.061
0.052 -1.589 -4.338
-3.630 -5.556 4.484
Dy Tm Ir
3 1 2
Direct
0.500 0.500 0.000 Dy
0.815 0.317 0.630 Dy
0.185 0.683 0.370 Dy
0.000 0.000 0.000 Tm
0.372 0.869 0.743 Ir
0.628 0.131 0.257 Ir
```

Results
SG   C2/m (12)
Energy above the most stable polymorph in this dataset   0.337 eV/f.u.
Final energy   -39.6 eV/cell
V   146 Å³ per cell
ΔE_f   -0.603 eV per atom

Record 5
First-principles (PBE) data for crystalline ScTlS2Cl at its relaxed geometry, as listed in Alexandria.

POSCAR file:
```
ScTlS2Cl
1.0
5.135 0.000 0.000
0.000 5.135 0.000
0.000 0.000 5.119
Sc Tl S Cl
1 1 2 1
Direct
0.500 0.500 0.500 Sc
0.000 0.000 0.000 Tl
0.000 0.500 0.000 S
0.500 0.000 0.000 S
0.000 0.000 0.500 Cl
```

Results
SG   P4/mmm (123)
Energy above the most stable polymorph in this dataset   5.360 eV/f.u.
Final energy   -18.9 eV/cell
Formation energy (no corrections)   -0.017 eV/atom
V   135 Å³ per cell

Record 6
First-principles (PBE) data for crystalline CaAc2Mg2 at its relaxed geometry, as listed in Alexandria.

POSCAR file:
```
CaAc2Mg2
1.0
-6.077 1.299 -2.507
-2.042 -9.339 0.111
1.713 4.604 7.187
Ca Ac Mg
2 4 4
Direct
0.750 0.500 0.000 Ca
0.250 0.500 0.000 Ca
0.900 0.768 0.800 Ac
0.100 0.232 0.200 Ac
0.600 0.968 0.200 Ac
0.400 0.032 0.800 Ac
0.347 0.603 0.695 Mg
0.653 0.397 0.305 Mg
0.153 0.908 0.305 Mg
0.847 0.092 0.695 Mg
```

Results
SG   Ibam (72)
Energy above the most stable polymorph in this dataset   1.282 eV/f.u.
Final energy   -24.5 eV/cell
V   414 Å³ per cell
ΔE_f   0.228 eV per atom

Record 7
First-principles (PBE) data for crystalline V2Ga4Cu at its relaxed geometry, as listed in Alexandria.

POSCAR file:
```
V2Ga4Cu
1.0
-2.515 3.178 2.255
-3.531 -0.724 -2.919
-5.235 -3.201 3.442
Cu Ga V
1 4 2
Direct
0.000 0.000 0.000 Cu
0.198 0.198 0.604 Ga
0.802 0.802 0.396 Ga
0.000 0.500 0.000 Ga
0.500 0.000 0.000 Ga
0.409 0.409 0.181 V
0.591 0.591 0.819 V
```

Results
SG   I4/mmm (139)
Final energy   -31.4 eV/cell
V   134 Å³ per cell
ΔE_f   0.427 eV per atom

Record 8
First-principles (PBE) data for crystalline Pm9Tl2Cd at its relaxed geometry, as listed in Alexandria.

POSCAR file:
```
Pm9Tl2Cd
1.0
4.965 0.000 0.000
0.000 4.965 0.000
0.000 0.000 14.841
Pm Tl Cd
9 2 1
Direct
0.500 0.500 0.000 Pm
0.500 0.500 0.331 Pm
0.500 0.500 0.669 Pm
0.500 0.000 0.166 Pm
0.500 0.000 0.500 Pm
0.500 0.000 0.834 Pm
0.000 0.500 0.166 Pm
0.000 0.500 0.500 Pm
0.000 0.500 0.834 Pm
0.000 0.000 0.334 Tl
0.000 0.000 0.666 Tl
0.000 0.000 0.000 Cd
```

Results
SG   P4/mmm (123)
Final energy   -50.4 eV/cell
V   366 Å³ per cell
ΔE_f   -0.169 eV per atom

no.,total magnetic moment (μB per cell),Fermi-level density of states (states/eV per atom)
1,0.00,0.98
2,0.00,0.88
3,0.94,0.73
4,0.00,0.77
5,0.68,0.82
6,0.00,0.96
7,0.00,0.97
8,1.43,1.57